An optimized crystal structure of Ho7Tm2Th2. Source: Alexandria via LeMat-Bulk, functional PBE-GGA.

CIF file:
```
data_Ho7Tm2Th2
_space_group_name_H-M_alt 'P 1'
_space_group_IT_number 1
_space_group_name_Hall 'P 1'
_cell_length_a 8.0166
_cell_length_b 8.0166
_cell_length_c 5.9649
_cell_angle_alpha 106.26
_cell_angle_beta 106.26
_cell_angle_gamma 91.14
loop_
_atom_site_label
_atom_site_fract_x
_atom_site_fract_y
_atom_site_fract_z
Ho1 0.0000 0.0000 0.0000
Ho2 0.0580 0.5936 0.8332
Ho3 0.2374 0.2374 0.5883
Ho4 0.4064 0.9420 0.1668
Ho5 0.5936 0.0580 0.8332
Ho6 0.7626 0.7626 0.4117
Ho7 0.9420 0.4064 0.1668
Tm1 0.4093 0.4093 0.1945
Tm2 0.5907 0.5907 0.8055
Th1 0.2122 0.7878 0.5000
Th2 0.7878 0.2122 0.5000
```

## Properties
Energy relative to the lowest polymorph listed for this composition: 12 meV per atom
Space group: No. 12
Energy of formation: 0.19 eV/atom

An optimized crystal structure of HoTm4Th5. Source: Alexandria via LeMat-Bulk, functional PBE-GGA.

CIF file:
```
data_HoTm4Th5
_space_group_name_H-M_alt 'P 1'
_space_group_IT_number 1
_space_group_name_Hall 'P 1'
_cell_length_a 8.9286
_cell_length_b 8.9286
_cell_length_c 11.0556
_cell_angle_alpha 106.85
_cell_angle_beta 106.85
_cell_angle_gamma 22.16
loop_
_atom_site_label
_atom_site_fract_x
_atom_site_fract_y
_atom_site_fract_z
Ho1 0.0000 0.0000 0.0000
Tm1 0.1967 0.1967 0.0866
Tm2 0.4062 0.4062 0.1893
Tm3 0.5938 0.5938 0.8107
Tm4 0.8033 0.8033 0.9134
Th1 0.0000 0.0000 0.5000
Th2 0.3026 0.3026 0.4041
Th3 0.3905 0.3905 0.7059
Th4 0.6095 0.6095 0.2941
Th5 0.6974 0.6974 0.5959
```

## Properties
Space group: No. 12
Energy of formation: 0.13 eV/atom

An optimized crystal structure of HoTm2Th. Source: Alexandria via LeMat-Bulk, functional PBE-GGA.

CIF file:
```
data_HoTm2Th
_space_group_name_H-M_alt 'P 1'
_space_group_IT_number 1
_space_group_name_Hall 'P 1'
_cell_length_a 11.5700
_cell_length_b 11.5700
_cell_length_c 11.5700
_cell_angle_alpha 17.59
_cell_angle_beta 17.59
_cell_angle_gamma 17.59
loop_
_atom_site_label
_atom_site_fract_x
_atom_site_fract_y
_atom_site_fract_z
Ho1 0.0000 0.0000 0.0000
Tm1 0.2490 0.2490 0.2490
Tm2 0.7510 0.7510 0.7510
Th1 0.5000 0.5000 0.5000
```

## Properties
Energy relative to the lowest polymorph listed for this composition: 0 meV per atom
Space group: No. 166
Energy of formation: 0.02 eV/atom

An optimized crystal structure of Ho7Tm4Th. Source: Alexandria via LeMat-Bulk, functional PBE-GGA.

CIF file:
```
data_Ho7Tm4Th
_space_group_name_H-M_alt 'P 1'
_space_group_IT_number 1
_space_group_name_Hall 'P 1'
_cell_length_a 5.5581
_cell_length_b 5.5581
_cell_length_c 13.7903
_cell_angle_alpha 90.00
_cell_angle_beta 90.00
_cell_angle_gamma 120.00
loop_
_atom_site_label
_atom_site_fract_x
_atom_site_fract_y
_atom_site_fract_z
Ho1 0.0000 0.0000 0.0000
Ho2 0.0000 0.0000 0.2511
Ho3 0.0000 0.0000 0.7489
Ho4 0.3333 0.6667 0.1260
Ho5 0.3333 0.6667 0.3738
Ho6 0.6667 0.3333 0.6262
Ho7 0.6667 0.3333 0.8740
Tm1 0.3333 0.6667 0.6260
Tm2 0.3333 0.6667 0.8744
Tm3 0.6667 0.3333 0.1256
Tm4 0.6667 0.3333 0.3740
Th1 0.0000 0.0000 0.5000
```

## Properties
Energy relative to the lowest polymorph listed for this composition: 0 meV per atom
Space group: No. 164
Energy of formation: 0.07 eV/atom

An optimized crystal structure of HoTm3Th4. Source: Alexandria via LeMat-Bulk, functional PBE-GGA.

CIF file:
```
data_HoTm3Th4
_space_group_name_H-M_alt 'P 1'
_space_group_IT_number 1
_space_group_name_Hall 'P 1'
_cell_length_a 8.8275
_cell_length_b 8.8275
_cell_length_c 8.8275
_cell_angle_alpha 157.74
_cell_angle_beta 100.46
_cell_angle_gamma 83.85
loop_
_atom_site_label
_atom_site_fract_x
_atom_site_fract_y
_atom_site_fract_z
Ho1 0.0000 0.0000 0.0000
Tm1 0.2343 0.7343 0.5000
Tm2 0.5000 0.5000 0.0000
Tm3 0.7657 0.2657 0.5000
Th1 0.1228 0.8702 0.2526
Th2 0.3824 0.1298 0.2526
Th3 0.6176 0.8702 0.7474
Th4 0.8772 0.1298 0.7474
```

## Properties
Energy relative to the lowest polymorph listed for this composition: 90 meV per atom
Space group: No. 71
Energy of formation: 0.14 eV/atom

An optimized crystal structure of Ho6Tm3Th. Source: Alexandria via LeMat-Bulk, functional PBE-GGA.

CIF file:
```
data_Ho6Tm3Th
_space_group_name_H-M_alt 'P 1'
_space_group_IT_number 1
_space_group_name_Hall 'P 1'
_cell_length_a 9.9759
_cell_length_b 9.9759
_cell_length_c 9.2738
_cell_angle_alpha 90.00
_cell_angle_beta 90.00
_cell_angle_gamma 136.95
loop_
_atom_site_label
_atom_site_fract_x
_atom_site_fract_y
_atom_site_fract_z
Ho1 0.0375 0.9625 0.5000
Ho2 0.0667 0.4397 0.9573
Ho3 0.1927 0.3131 0.7051
Ho4 0.2894 0.7106 0.6558
Ho5 0.3131 0.1927 0.2051
Ho6 0.4397 0.0667 0.4573
Ho7 0.5603 0.9333 0.9573
Ho8 0.6869 0.8073 0.7051
Ho9 0.7106 0.2894 0.1558
Ho10 0.8073 0.6869 0.2051
Ho11 0.9333 0.5603 0.4573
Ho12 0.9625 0.0375 0.0000
Tm1 0.1259 0.3746 0.3283
Tm2 0.3746 0.1259 0.8283
Tm3 0.4617 0.5383 0.0019
Tm4 0.5383 0.4617 0.5019
Tm5 0.6254 0.8741 0.3283
Tm6 0.8741 0.6254 0.8283
Th1 0.2100 0.7900 0.1585
Th2 0.7900 0.2100 0.6585
```

## Properties
Energy relative to the lowest polymorph listed for this composition: 0 meV per atom
Space group: No. 36
Energy of formation: 0.13 eV/atom

An optimized crystal structure of Ho8Tm3Th3. Source: Alexandria via LeMat-Bulk, functional PBE-GGA.

CIF file:
```
data_Ho8Tm3Th3
_space_group_name_H-M_alt 'P 1'
_space_group_IT_number 1
_space_group_name_Hall 'P 1'
_cell_length_a 9.5486
_cell_length_b 9.5486
_cell_length_c 9.5486
_cell_angle_alpha 145.77
_cell_angle_beta 112.68
_cell_angle_gamma 77.74
loop_
_atom_site_label
_atom_site_fract_x
_atom_site_fract_y
_atom_site_fract_z
Ho1 0.0577 0.3975 0.6602
Ho2 0.0630 0.2221 0.8409
Ho3 0.2627 0.6025 0.6602
Ho4 0.3813 0.2221 0.1591
Ho5 0.6187 0.7779 0.8409
Ho6 0.7373 0.3975 0.3398
Ho7 0.9370 0.7779 0.1591
Ho8 0.9423 0.6025 0.3398
Tm1 0.0000 0.0000 0.0000
Tm2 0.3065 0.0000 0.3065
Tm3 0.6935 0.0000 0.6935
Th1 0.3147 0.8147 0.5000
Th2 0.5000 0.5000 0.0000
Th3 0.6853 0.1853 0.5000
```

## Properties
Space group: No. 71
Energy of formation: 0.15 eV/atom

An optimized crystal structure of Ho4TmTh. Source: Alexandria via LeMat-Bulk, functional PBE-GGA.

CIF file:
```
data_Ho4TmTh
_space_group_name_H-M_alt 'P 1'
_space_group_IT_number 1
_space_group_name_Hall 'P 1'
_cell_length_a 8.2264
_cell_length_b 8.2264
_cell_length_c 3.3901
_cell_angle_alpha 90.00
_cell_angle_beta 90.00
_cell_angle_gamma 91.15
loop_
_atom_site_label
_atom_site_fract_x
_atom_site_fract_y
_atom_site_fract_z
Ho1 0.2305 0.7695 0.0000
Ho2 0.2607 0.2607 0.5000
Ho3 0.7393 0.7393 0.5000
Ho4 0.7695 0.2305 0.0000
Tm1 0.0000 0.0000 0.5000
Th1 0.5000 0.5000 0.0000
```

## Properties
Energy relative to the lowest polymorph listed for this composition: 755 meV per atom
Space group: No. 65
Energy of formation: 0.75 eV/atom

Record-wise total magnetization values, in μB/f.u.: 0.00 0.00 0.00 0.00 0.00 0.00 0.00 0.00
Record-wise total energy values, in eV per formula unit: -53.72 -58.26 -20.84 -56.54 -46.56 -46.99 -70.14 -25.69